No. 1
Pm6Os2Pt: relaxed, PBE-GGA. Values from VASP.

```
&SYSTEM
  ibrav = 0, nat = 18, ntyp = 3
/
ATOMIC_SPECIES
Pm 145.00 Pm.upf
Os 190.23 Os.upf
Pt 195.08 Pt.upf
ATOMIC_POSITIONS crystal
Pm 0.084 0.174 0.429
Pm 0.084 0.326 0.929
Pm 0.242 0.669 0.423
Pm 0.242 0.831 0.923
Pm 0.412 0.060 0.242
Pm 0.412 0.440 0.742
Pm 0.588 0.560 0.258
Pm 0.588 0.940 0.758
Pm 0.758 0.169 0.077
Pm 0.758 0.331 0.577
Pm 0.916 0.674 0.071
Pm 0.916 0.826 0.571
Os 0.211 0.112 0.748
Os 0.211 0.388 0.248
Os 0.789 0.612 0.752
Os 0.789 0.888 0.252
Pt 0.500 0.000 0.500
Pt 0.500 0.500 0.000
CELL_PARAMETERS angstrom
6.877 0.000 0.000
0.000 7.506 0.000
-6.845 0.000 9.874
```

=====

No. 2
KLiGa3: relaxed, PBE-GGA. Values from VASP.

```
&SYSTEM
  ibrav = 0, nat = 5, ntyp = 3
/
ATOMIC_SPECIES
K 39.10 K.upf
Li 6.94 Li.upf
Ga 69.72 Ga.upf
ATOMIC_POSITIONS crystal
K 0.000 0.000 0.000
Li 0.500 0.500 0.500
Ga 0.000 0.000 0.500
Ga 0.000 0.500 0.000
Ga 0.500 0.000 0.000
CELL_PARAMETERS angstrom
5.794 0.000 0.000
0.000 5.794 0.000
0.000 0.000 5.794
```

Calculated values
The excess energy over the best structure of this formula in the dataset comes out at 1.105 eV/atom.

=====

No. 3
CeNd3Mg4: relaxed, PBE-GGA. Values from VASP.

```
&SYSTEM
  ibrav = 0, nat = 8, ntyp = 3
/
ATOMIC_SPECIES
Ce 140.12 Ce.upf
Nd 144.24 Nd.upf
Mg 24.30 Mg.upf
ATOMIC_POSITIONS crystal
Ce 0.000 0.000 0.000
Nd 0.000 0.000 0.500
Nd 0.000 0.500 0.248
Nd 0.000 0.500 0.752
Mg 0.500 0.000 0.250
Mg 0.500 0.000 0.750
Mg 0.500 0.500 0.000
Mg 0.500 0.500 0.500
CELL_PARAMETERS angstrom
3.863 0.000 0.000
0.000 5.489 0.000
0.000 0.000 10.980
```

=====

Number 1: energy relative to the elements -0.269 eV per atom, magnetic moment 0.00 μB/cell. Number 2: energy relative to the elements 0.919 eV per atom, magnetic moment 0.00 μB/cell. Number 3: energy relative to the elements -0.060 eV per atom, magnetic moment 0.98 μB/cell.